Compound: NaCePu2Te4
Source: the Alexandria database
Functional: GGA-PBE
Structure: relaxed

Structure (CIF):
```
data_NaCePu2Te4
_space_group_name_H-M_alt 'P 1'
_space_group_IT_number 1
_space_group_name_Hall 'P 1'
_cell_length_a 4.4721
_cell_length_b 7.7866
_cell_length_c 7.8537
_cell_angle_alpha 70.79
_cell_angle_beta 90.00
_cell_angle_gamma 90.00
loop_
_atom_site_label
_atom_site_fract_x
_atom_site_fract_y
_atom_site_fract_z
Na1 0.0000 0.5000 0.5000
Pu1 0.5000 0.0000 0.5000
Pu2 0.0000 0.0000 0.0000
Te1 0.0000 0.7538 0.7481
Te2 0.5000 0.2460 0.7544
Te3 0.0000 0.2462 0.2519
Te4 0.5000 0.7540 0.2456
Ce1 0.5000 0.5000 0.0000
```

Summary:
For the spin magnetization, the calculation gives 0.12 μB per atom. Its electronic total energy is -0.5284 Ry per atom. As for the volume: 32.3 A^3/atom. As for the density of states at the Fermi level: 4.6503 states/eV per atom. Its uncorrected formation energy is -9.0 eV per formula unit.